# BiS2ClF, single point on PBEsol structure, DFT meta-GGA SCAN
data_BiS2ClF
_cell_length_a 5.302
_cell_length_b 5.302
_cell_length_c 5.236
_cell_angle_alpha 90.00
_cell_angle_beta 90.00
_cell_angle_gamma 90.00
_symmetry_space_group_name_H-M 'P 4/m m m'
_symmetry_Int_Tables_number 123
_symmetry_space_group_name_Hall '-P 4 2'
loop_
_atom_site_label
_atom_site_fract_x
_atom_site_fract_y
_atom_site_fract_z
Bi1 0.000 0.000 0.000
S1 0.000 0.500 0.000
Cl1 0.000 0.000 0.500
F1 0.500 0.500 0.500
# Formation energy without anion corrections, kJ/mol of atoms: 36.5
# Total magnetic moment, μB/cell: 2.8
# Energy, eV per atom: -21.493
# Energy above the most stable polymorph in this dataset, meV/atom: 143.9